Entry 1:
{"formula": "AcDyEr2Tl4", "functional": "PBE-GGA", "state": "relaxed", "total_energy_ev_per_atom": -3.714, "space_group": "R-3m", "dos_ef_per_ev_cell": 6.19, "formation_enthalpy_0k_mev_per_atom": -301, "lattice_angstrom": [[-0.073, 2.835, 4.676], [-4.749, 0.986, 2.526], [-0.717, -6.407, 7.072]], "species": ["Tl", "Tl", "Tl", "Tl", "Ac", "Er", "Er", "Dy"], "fractional_positions": [[0.620, 0.620, 0.141], [0.871, 0.871, 0.386], [0.129, 0.129, 0.614], [0.380, 0.380, 0.859], [0.000, 0.000, 0.000], [0.752, 0.752, 0.745], [0.248, 0.248, 0.255], [0.500, 0.500, 0.500]]}

Entry 2:
{"formula": "AcDy3ErTm", "functional": "PBE-GGA", "state": "relaxed", "total_energy_ev_per_atom": -4.262, "space_group": "C2/m", "dos_ef_per_ev_cell": 20.42, "formation_enthalpy_0k_mev_per_atom": 230, "lattice_angstrom": [[-1.820, 4.907, 1.093], [-4.414, -6.507, 8.791], [5.206, 0.912, 4.575]], "species": ["Er", "Er", "Dy", "Dy", "Dy", "Dy", "Dy", "Dy", "Tm", "Tm", "Ac", "Ac"], "fractional_positions": [[0.667, 0.334, 0.476], [0.333, 0.666, 0.524], [0.225, 0.451, 0.191], [0.775, 0.549, 0.809], [0.479, 0.958, 0.285], [0.819, 0.638, 0.285], [0.181, 0.362, 0.715], [0.521, 0.042, 0.715], [0.925, 0.850, 0.605], [0.075, 0.150, 0.395], [0.374, 0.748, 0.983], [0.626, 0.252, 0.017]]}